#i
Here is crystalline SmHo6Tm at its relaxed geometry from Alexandria via LeMat-Bulk. Energies are from GGA-PBE.

Computed properties:
* volume: 249 Å³ per cell
* M_tot: 0.000 μB per cell

Lattice parameters (Å, degrees): 4.9971 4.9971 9.9862 90.00 90.00 90.00
Space group P4/mmm (No. 123)
One atom of each set of equivalent atoms:
Sm: 0.0000 0.0000 0.0000 [1 per cell]
Ho: 0.0000 0.5000 0.2523 [4 per cell]
Ho: 0.5000 0.5000 0.0000 [1 per cell]
Ho: 0.5000 0.5000 0.5000 [1 per cell]
Tm: 0.0000 0.0000 0.5000 [1 per cell]

#ii
Here is crystalline SmHo6Tm at its relaxed geometry from Alexandria via LeMat-Bulk. Energies are from GGA-PBE.

Computed properties:
* volume: 254 Å³ per cell
* M_tot: 0.000 μB per cell

Lattice parameters (Å, degrees): 6.5164 6.6951 6.8846 118.57 103.67 90.22
Space group P-1 (No. 2)
One atom of each set of equivalent atoms:
Sm: 0.0000 0.0000 0.0000 [1 per cell]
Ho: 0.2320 0.5765 0.4830 [2 per cell]
Ho: 0.2523 0.5482 0.0020 [2 per cell]
Ho: 0.2720 0.0954 0.5260 [2 per cell]
Tm: 0.5000 0.0000 0.0000 [1 per cell]

Which of them is most stable? Easy: #i.

#i
Here is crystalline SmHo3Tm at its relaxed geometry from Alexandria via LeMat-Bulk. Energies are from GGA-PBE.

Computed properties:
* volume: 343 Å³ per cell
* M_tot: 0.000 μB per cell

Lattice parameters (Å, degrees): 3.5888 11.5031 8.4895 90.00 102.08 90.00
Space group P2_1/m (No. 11)
One atom of each set of equivalent atoms:
Sm: 0.0019 0.2500 0.0181 [2 per cell]
Ho: 0.1576 0.5006 0.3120 [4 per cell]
Ho: 0.3191 0.7500 0.6348 [2 per cell]
Tm: 0.3379 0.2500 0.6826 [2 per cell]

#ii
Here is crystalline SmHo3Tm at its relaxed geometry from Alexandria via LeMat-Bulk. Energies are from GGA-PBE.

Computed properties:
* volume: 316 Å³ per cell
* M_tot: 0.000 μB per cell

Lattice parameters (Å, degrees): 6.4986 6.6589 8.9106 80.05 69.29 61.03
Space group P-1 (No. 2)
One atom of each set of equivalent atoms:
Sm: 0.1282 0.1447 0.3454 [2 per cell]
Ho: 0.2674 0.8487 0.8456 [2 per cell]
Ho: 0.2975 0.2965 0.9520 [2 per cell]
Ho: 0.3993 0.3002 0.5513 [2 per cell]
Tm: 0.1798 0.6457 0.2479 [2 per cell]

Which of them is most stable? Easy: #ii.

#i
Here is crystalline Sm2Ho5Tm2 at its relaxed geometry from Alexandria via LeMat-Bulk. Energies are from GGA-PBE.

Computed properties:
* volume: 1159 Å³ per cell
* M_tot: 0.000 μB per cell

Lattice parameters (Å, degrees): 14.8220 11.7090 6.6792 90.00 90.00 90.00
Space group Ima2 (No. 46)
One atom of each set of equivalent atoms:
Sm: 0.0000 0.0000 0.0000 [4 per cell]
Sm: 0.2500 0.0107 0.9038 [4 per cell]
Ho: 0.0524 0.7450 0.3051 [8 per cell]
Ho: 0.1426 0.2363 0.1173 [8 per cell]
Ho: 0.2500 0.7487 0.1117 [4 per cell]
Tm: 0.1269 0.5040 0.9538 [8 per cell]

#ii
Here is crystalline Sm2Ho5Tm2 at its relaxed geometry from Alexandria via LeMat-Bulk. Energies are from GGA-PBE.

Computed properties:
* volume: 285 Å³ per cell
* M_tot: 0.000 μB per cell

Lattice parameters (Å, degrees): 8.6555 3.5451 9.5269 90.00 103.05 90.00
Space group P2/m (No. 10)
One atom of each set of equivalent atoms:
Sm: 0.0289 0.0000 0.1843 [2 per cell]
Ho: 0.0000 0.5000 0.5000 [1 per cell]
Ho: 0.3139 0.5000 0.0322 [2 per cell]
Ho: 0.3556 0.0000 0.7131 [2 per cell]
Tm: 0.3378 0.5000 0.3886 [2 per cell]

Which of them is most stable? Easy: #ii.

#i
Here is crystalline SmHo2Tm7 at its relaxed geometry from Alexandria via LeMat-Bulk. Energies are from GGA-PBE.

Computed properties:
* volume: 763 Å³ per cell
* M_tot: 0.001 μB per cell

Lattice parameters (Å, degrees): 8.6598 16.4343 5.3623 90.00 90.00 90.00
Space group Cmmm (No. 65)
One atom of each set of equivalent atoms:
Sm: 0.0000 0.0000 0.0000 [2 per cell]
Ho: 0.0000 0.2987 0.5000 [4 per cell]
Tm: 0.0000 0.2046 0.0000 [4 per cell]
Tm: 0.0000 0.5000 0.5000 [2 per cell]
Tm: 0.1769 0.1132 0.5000 [8 per cell]

#ii
Here is crystalline SmHo2Tm7 at its relaxed geometry from Alexandria via LeMat-Bulk. Energies are from GGA-PBE.

Computed properties:
* volume: 305 Å³ per cell
* M_tot: 0.000 μB per cell

Lattice parameters (Å, degrees): 6.0720 7.0096 7.8442 77.04 75.05 73.26
Space group P-1 (No. 2)
One atom of each set of equivalent atoms:
Sm: 0.0000 0.0000 0.0000 [1 per cell]
Ho: 0.1998 0.3003 0.5999 [2 per cell]
Tm: 0.0000 0.5000 0.0000 [1 per cell]
Tm: 0.2007 0.7996 0.5996 [2 per cell]
Tm: 0.3998 0.1002 0.2003 [2 per cell]
Tm: 0.4006 0.5991 0.2009 [2 per cell]

Which of them is most stable? Easy: #ii.

#i
Here is crystalline Sm2Ho5Tm3 at its relaxed geometry from Alexandria via LeMat-Bulk. Energies are from GGA-PBE.

Computed properties:
* volume: 1313 Å³ per cell
* M_tot: 0.000 μB per cell

Lattice parameters (Å, degrees): 10.8414 14.2805 9.6274 90.00 118.26 90.00
Space group C2/c (No. 15)
One atom of each set of equivalent atoms:
Sm: 0.1695 0.1249 0.0452 [8 per cell]
Ho: 0.0000 0.0357 0.2500 [4 per cell]
Ho: 0.0000 0.2524 0.2500 [4 per cell]
Ho: 0.0000 0.5002 0.2500 [4 per cell]
Ho: 0.2031 0.1210 0.6806 [8 per cell]
Tm: 0.0000 0.2731 0.7500 [4 per cell]
Tm: 0.1720 0.3719 0.5783 [8 per cell]

#ii
Here is crystalline Sm2Ho5Tm3 at its relaxed geometry from Alexandria via LeMat-Bulk. Energies are from GGA-PBE.

Computed properties:
* volume: 1350 Å³ per cell
* M_tot: 0.000 μB per cell

Lattice parameters (Å, degrees): 9.3022 21.6209 6.7116 90.00 90.00 90.00
Space group Ibam (No. 72)
One atom of each set of equivalent atoms:
Sm: 0.1001 0.1245 0.0000 [8 per cell]
Ho: 0.0000 0.2506 0.2500 [8 per cell]
Ho: 0.0000 0.5000 0.2500 [4 per cell]
Ho: 0.0894 0.3751 0.5000 [8 per cell]
Tm: 0.0000 0.0000 0.2500 [4 per cell]
Tm: 0.2494 0.1238 0.5000 [8 per cell]

Which of them is most stable? Easy: #i.

#i
Here is crystalline Sm2Ho7Tm at its relaxed geometry from Alexandria via LeMat-Bulk. Energies are from GGA-PBE.

Computed properties:
* volume: 645 Å³ per cell
* M_tot: 0.002 μB per cell

Lattice parameters (Å, degrees): 6.4498 28.6276 3.4956 90.00 90.00 90.00
Space group Cmmm (No. 65)
One atom of each set of equivalent atoms:
Sm: 0.0000 0.2081 0.0000 [4 per cell]
Ho: 0.0000 0.0000 0.0000 [2 per cell]
Ho: 0.0000 0.3152 0.5000 [4 per cell]
Ho: 0.2459 0.4023 0.0000 [8 per cell]
Tm: 0.0000 0.5000 0.5000 [2 per cell]

#ii
Here is crystalline Sm2Ho7Tm at its relaxed geometry from Alexandria via LeMat-Bulk. Energies are from GGA-PBE.

Computed properties:
* volume: 313 Å³ per cell
* M_tot: 0.000 μB per cell

Lattice parameters (Å, degrees): 6.1252 6.1309 9.3644 102.64 109.01 99.63
Space group P-1 (No. 2)
One atom of each set of equivalent atoms:
Sm: 0.1003 0.0011 0.2006 [2 per cell]
Ho: 0.1003 0.5001 0.6991 [2 per cell]
Ho: 0.2997 0.0001 0.5990 [2 per cell]
Ho: 0.3009 0.5017 0.1006 [2 per cell]
Ho: 0.5000 0.0000 0.0000 [1 per cell]
Tm: 0.5000 0.5000 0.5000 [1 per cell]

Which of them is most stable? Easy: #ii.

#i
Here is crystalline Sm5HoTm3 at its relaxed geometry from Alexandria via LeMat-Bulk. Energies are from GGA-PBE.

Computed properties:
* volume: 1178 Å³ per cell
* M_tot: 0.000 μB per cell

Lattice parameters (Å, degrees): 16.3332 6.6913 11.4908 90.00 110.29 90.00
Space group C2/c (No. 15)
One atom of each set of equivalent atoms:
Sm: 0.0000 0.1893 0.2500 [4 per cell]
Sm: 0.1113 0.0035 0.5520 [8 per cell]
Sm: 0.1709 0.4153 0.3433 [8 per cell]
Ho: 0.0000 0.2592 0.7500 [4 per cell]
Tm: 0.0000 0.5000 0.0000 [4 per cell]
Tm: 0.2386 0.0951 0.8735 [8 per cell]

#ii
Here is crystalline Sm5HoTm3 at its relaxed geometry from Alexandria via LeMat-Bulk. Energies are from GGA-PBE.

Computed properties:
* volume: 1326 Å³ per cell
* M_tot: 0.002 μB per cell

Lattice parameters (Å, degrees): 15.1253 11.5842 9.8297 90.00 129.64 90.00
Space group C2/m (No. 12)
One atom of each set of equivalent atoms:
Sm: 0.0000 0.2452 0.0000 [4 per cell]
Sm: 0.1460 0.2476 0.7424 [8 per cell]
Sm: 0.2236 0.5000 0.0444 [4 per cell]
Sm: 0.2279 0.0000 0.2385 [4 per cell]
Ho: 0.2471 0.0000 0.5939 [4 per cell]
Tm: 0.0000 0.0000 0.5000 [2 per cell]
Tm: 0.0000 0.5000 0.0000 [2 per cell]
Tm: 0.0091 0.0000 0.8249 [4 per cell]
Tm: 0.0158 0.5000 0.3544 [4 per cell]

Which of them is most stable? Easy: #i.

#i
Here is crystalline Sm3Ho3Tm at its relaxed geometry from Alexandria via LeMat-Bulk. Energies are from GGA-PBE.

Computed properties:
* volume: 452 Å³ per cell
* M_tot: 0.009 μB per cell

Lattice parameters (Å, degrees): 9.5678 9.5678 5.7028 90.00 90.00 120.00
Space group P6_3/m (No. 176)
One atom of each set of equivalent atoms:
Sm: 0.0481 0.8065 0.2500 [6 per cell]
Ho: 0.0950 0.6175 0.7500 [6 per cell]
Tm: 0.3333 0.6667 0.2500 [2 per cell]

#ii
Here is crystalline Sm3Ho3Tm at its relaxed geometry from Alexandria via LeMat-Bulk. Energies are from GGA-PBE.

Computed properties:
* volume: 1416 Å³ per cell
* M_tot: 0.000 μB per cell

Lattice parameters (Å, degrees): 6.1876 6.1876 42.7022 90.00 90.00 120.00
Space group R-3 (No. 148, hexagonal axes)
One atom of each set of equivalent atoms:
Sm: 0.0001 0.3309 0.1314 [18 per cell]
Ho: 0.0003 0.3332 0.2686 [18 per cell]
Tm: 0.0000 0.0000 0.3333 [6 per cell]

Which of them is most stable? Easy: #i.

#i
Here is crystalline SmHo3Tm5 at its relaxed geometry from Alexandria via LeMat-Bulk. Energies are from GGA-PBE.

Computed properties:
* volume: 1125 Å³ per cell
* M_tot: 0.000 μB per cell

Lattice parameters (Å, degrees): 7.1218 17.2651 9.1491 90.00 90.00 90.00
Space group Imma (No. 74)
One atom of each set of equivalent atoms:
Sm: 0.0000 0.2500 0.0491 [4 per cell]
Ho: 0.0000 0.0621 0.7480 [8 per cell]
Ho: 0.2500 0.2500 0.7500 [4 per cell]
Tm: 0.0000 0.2500 0.4080 [4 per cell]
Tm: 0.2480 0.0871 0.0693 [16 per cell]

#ii
Here is crystalline SmHo3Tm5 at its relaxed geometry from Alexandria via LeMat-Bulk. Energies are from GGA-PBE.

Computed properties:
* volume: 1206 Å³ per cell
* M_tot: 0.000 μB per cell

Lattice parameters (Å, degrees): 16.6463 7.8761 12.0858 90.00 130.44 90.00
Space group C2/m (No. 12)
One atom of each set of equivalent atoms:
Sm: 0.2357 0.0000 0.1288 [4 per cell]
Ho: 0.0000 0.0000 0.0000 [2 per cell]
Ho: 0.0000 0.5000 0.5000 [2 per cell]
Ho: 0.1211 0.5000 0.3148 [4 per cell]
Ho: 0.1725 0.0000 0.3398 [4 per cell]
Tm: 0.0000 0.3218 0.0000 [4 per cell]
Tm: 0.0649 0.2063 0.7811 [8 per cell]
Tm: 0.1215 0.0000 0.5645 [4 per cell]
Tm: 0.2018 0.5000 0.0731 [4 per cell]

Which of them is most stable? Easy: #i.